A:
Computed, not measured: a geometry-optimized Ho3In structure at the GGA-PBEsol level of DFT.

Lattice parameters (Å, degrees): 4.7245 4.7245 4.7245 90.00 90.00 90.00
Last column: nearest neighbours and their distance in Å.
Element x y z (fractional)
Ho 0.0000 0.5000 0.5000  4 In 3.34, 8 Ho 3.34
Ho 0.5000 0.0000 0.5000  4 In 3.34, 8 Ho 3.34
Ho 0.5000 0.5000 0.0000  4 In 3.34, 8 Ho 3.34
In 0.0000 0.0000 0.0000  12 Ho 3.34

The density of states at the Fermi level comes out at 4.93 states/eV/cell. As for the density: 9599 kg/m3. For the magnetization, the calculation gives 0.0 Bohr magnetons per cell.


B:
Computed, not measured: a geometry-optimized Ho3In structure at the GGA-PBEsol level of DFT.

Lattice parameters (Å, degrees): 5.3482 6.7595 6.7595 120.00 90.00 90.00
Last column: nearest neighbours and their distance in Å.
Element x y z (fractional)
Ho 0.7500 0.8279 0.1721  8 Ho 3.27-3.49, 4 In 3.27-3.38
Ho 0.7500 0.8279 0.6558  8 Ho 3.27-3.49, 4 In 3.27-3.38
Ho 0.7500 0.3442 0.1721  8 Ho 3.27-3.49, 4 In 3.27-3.38
Ho 0.2500 0.1721 0.8279  8 Ho 3.27-3.49, 4 In 3.27-3.38
Ho 0.2500 0.1721 0.3442  8 Ho 3.27-3.49, 4 In 3.27-3.38
Ho 0.2500 0.6558 0.8279  8 Ho 3.27-3.49, 4 In 3.27-3.38
In 0.2500 0.6667 0.3333  12 Ho 3.27-3.38
In 0.7500 0.3333 0.6667  12 Ho 3.27-3.38

The density of states at the Fermi level comes out at 10.20 states/eV/cell. As for the density: 9567 kg/m3. For the magnetization, the calculation gives 0.0 Bohr magnetons per cell.


Least stable structure: B


A:
Computed, not measured: a geometry-optimized Nd3Ho structure at the GGA-PBEsol level of DFT.

Lattice parameters (Å, degrees): 5.0351 5.0351 5.0351 90.00 90.00 90.00
Last column: nearest neighbours and their distance in Å.
Element x y z (fractional)
Nd 0.0000 0.5000 0.5000  8 Nd 3.56, 4 Ho 3.56
Nd 0.5000 0.0000 0.5000  4 Ho 3.56, 8 Nd 3.56
Nd 0.5000 0.5000 0.0000  8 Nd 3.56, 4 Ho 3.56
Ho 0.0000 0.0000 0.0000  12 Nd 3.56

The density of states at the Fermi level comes out at 5.48 states/eV/cell. As for the density: 7775 kg/m3. For the magnetization, the calculation gives 0.0 Bohr magnetons per cell.


B:
Computed, not measured: a geometry-optimized Nd3Ho structure at the GGA-PBEsol level of DFT.

Lattice parameters (Å, degrees): 5.7717 7.1818 7.1818 120.00 90.00 90.00
Last column: nearest neighbours and their distance in Å.
Element x y z (fractional)
Nd 0.2500 0.6658 0.8329  4 Ho 3.55-3.59, 8 Nd 3.56-3.60
Nd 0.2500 0.1671 0.3342  4 Ho 3.55-3.59, 8 Nd 3.56-3.60
Nd 0.2500 0.1671 0.8329  4 Ho 3.55-3.59, 8 Nd 3.56-3.60
Nd 0.7500 0.3342 0.1671  4 Ho 3.55-3.59, 8 Nd 3.56-3.60
Nd 0.7500 0.8329 0.6658  4 Ho 3.55-3.59, 8 Nd 3.56-3.60
Nd 0.7500 0.8329 0.1671  4 Ho 3.55-3.59, 8 Nd 3.56-3.60
Ho 0.7500 0.3333 0.6667  12 Nd 3.55-3.59
Ho 0.2500 0.6667 0.3333  12 Nd 3.55-3.59

The density of states at the Fermi level comes out at 12.65 states/eV/cell. As for the density: 7699 kg/m3. For the magnetization, the calculation gives 0.0 Bohr magnetons per cell.


Least stable structure: B


A:
Computed, not measured: a geometry-optimized Ho3Ni2 structure at the GGA-PBEsol level of DFT.

Lattice parameters (Å, degrees): 3.5694 6.7596 9.3045 104.84 90.00 105.31
Last column: nearest neighbours and their distance in Å.
Element x y z (fractional)
Ho 0.8682 0.7365 0.0023  7 Ni 2.75-2.97
Ho 0.1318 0.2635 0.9977  7 Ni 2.75-2.97
Ho 0.5970 0.1940 0.6730  3 Ni 2.71
Ho 0.4030 0.8060 0.3270  3 Ni 2.71
Ho 0.8557 0.7114 0.6320  4 Ni 2.74-2.82
Ho 0.1443 0.2886 0.3680  4 Ni 2.74-2.82
Ni 0.4654 0.9307 0.8551  2 Ni 2.61-2.63, 7 Ho 2.71-2.85
Ni 0.5346 0.0693 0.1449  2 Ni 2.61-2.63, 7 Ho 2.71-2.85
Ni 0.2562 0.5123 0.7728  1 Ni 2.63, 6 Ho 2.71-2.87
Ni 0.7438 0.4877 0.2272  1 Ni 2.63, 6 Ho 2.71-2.87

The density of states at the Fermi level comes out at 8.63 states/eV/cell. As for the density: 9739 kg/m3. For the magnetization, the calculation gives 0.0 Bohr magnetons per cell.


B:
Computed, not measured: a geometry-optimized Ho3Ni2 structure at the GGA-PBEsol level of DFT.

Lattice parameters (Å, degrees): 7.0476 7.0476 7.0476 72.82 72.82 72.82
Last column: nearest neighbours and their distance in Å.
Element x y z (fractional)
Ho 0.0000 0.0000 0.0000  6 Ni 2.85, 2 Ho 3.18
Ho 0.7931 0.7931 0.7931  6 Ni 2.72-2.87
Ho 0.2069 0.2069 0.2069  6 Ni 2.72-2.87
Ho 0.3365 0.6132 0.8287  4 Ni 2.77-2.93
Ho 0.8287 0.3365 0.6132  4 Ni 2.77-2.93
Ho 0.6132 0.8287 0.3365  4 Ni 2.77-2.93
Ho 0.6635 0.3868 0.1713  4 Ni 2.77-2.93
Ho 0.1713 0.6635 0.3868  4 Ni 2.77-2.93
Ho 0.3868 0.1713 0.6635  4 Ni 2.77-2.93
Ni 0.1445 0.9607 0.5870  1 Ni 2.52, 4 Ho 2.72-2.81
Ni 0.5870 0.1445 0.9607  1 Ni 2.52, 4 Ho 2.72-2.81
Ni 0.9607 0.5870 0.1445  1 Ni 2.52, 4 Ho 2.72-2.81
Ni 0.8555 0.0393 0.4130  1 Ni 2.52, 4 Ho 2.72-2.81
Ni 0.4130 0.8555 0.0393  1 Ni 2.52, 4 Ho 2.72-2.81
Ni 0.0393 0.4130 0.8555  1 Ni 2.52, 4 Ho 2.72-2.81

The density of states at the Fermi level comes out at 14.00 states/eV/cell. As for the density: 9803 kg/m3. For the magnetization, the calculation gives 0.0 Bohr magnetons per cell.


Least stable structure: B


A:
Computed, not measured: a geometry-optimized HoP5O14 structure at the GGA-PBEsol level of DFT.

Lattice parameters (Å, degrees): 8.7151 8.9445 12.6937 90.00 90.00 90.00
Last column: nearest neighbours and their distance in Å.
Element x y z (fractional)
Ho 0.9803 0.9434 0.7500  8 O 2.24-2.49
Ho 0.4803 0.5566 0.7500  8 O 2.24-2.49
Ho 0.5197 0.4434 0.2500  8 O 2.24-2.49
Ho 0.0197 0.0566 0.2500  8 O 2.24-2.49
P 0.2421 0.7738 0.5698  4 O 1.48-1.62
P 0.7421 0.7262 0.9302  4 O 1.48-1.62
P 0.2579 0.2738 0.4302  4 O 1.48-1.62
P 0.7579 0.2262 0.0698  4 O 1.48-1.62
P 0.7579 0.2262 0.4302  4 O 1.48-1.62
P 0.2579 0.2738 0.0698  4 O 1.48-1.62
P 0.7421 0.7262 0.5698  4 O 1.48-1.62
P 0.2421 0.7738 0.9302  4 O 1.48-1.62
P 0.4902 0.7975 0.4177  4 O 1.47-1.58
P 0.9902 0.7025 0.0823  4 O 1.47-1.58
P 0.0098 0.2975 0.5823  4 O 1.47-1.58
P 0.5098 0.2025 0.9177  4 O 1.47-1.58
P 0.5098 0.2025 0.5823  4 O 1.47-1.58
P 0.0098 0.2975 0.9177  4 O 1.47-1.58
P 0.9902 0.7025 0.4177  4 O 1.47-1.58
P 0.4902 0.7975 0.0823  4 O 1.47-1.58
P 0.5735 0.9908 0.7500  4 O 1.48-1.63
P 0.0735 0.5092 0.7500  4 O 1.48-1.63
P 0.9265 0.4908 0.2500  4 O 1.48-1.63
P 0.4265 0.0092 0.2500  4 O 1.48-1.63
O 0.1718 0.8991 0.6292  1 P 1.48
O 0.6718 0.6009 0.8708  1 P 1.48
O 0.3282 0.3991 0.3708  1 P 1.48
O 0.8282 0.1009 0.1292  1 P 1.48
O 0.8282 0.1009 0.3708  1 P 1.48
O 0.3282 0.3991 0.1292  1 P 1.48
O 0.6718 0.6009 0.6292  1 P 1.48
O 0.1718 0.8991 0.8708  1 P 1.48
O 0.3439 0.6609 0.6195  1 P 1.49
O 0.8439 0.8391 0.8805  1 P 1.49
O 0.1561 0.1609 0.3805  1 P 1.49
O 0.6561 0.3391 0.1195  1 P 1.49
O 0.6561 0.3391 0.3805  1 P 1.49
O 0.1561 0.1609 0.1195  1 P 1.49
O 0.8439 0.8391 0.6195  1 P 1.49
O 0.3439 0.6609 0.8805  1 P 1.49
O 0.1115 0.6795 0.5077  2 P 1.57-1.62
O 0.6115 0.8205 0.9923  2 P 1.57-1.62
O 0.3885 0.1795 0.4923  2 P 1.57-1.62
O 0.3330 0.8445 0.4701  2 P 1.58-1.62
O 0.8885 0.3205 0.0077  2 P 1.57-1.62
O 0.3885 0.1795 0.0077  2 P 1.57-1.62
O 0.6115 0.8205 0.5077  2 P 1.57-1.62
O 0.1115 0.6795 0.9923  2 P 1.57-1.62
O 0.4592 0.1714 0.2500  1 P 1.48
O 0.9592 0.3286 0.2500  1 P 1.48
O 0.0408 0.6714 0.7500  1 P 1.48
O 0.5408 0.8286 0.7500  1 P 1.48
O 0.2693 0.9431 0.2500  1 P 1.49
O 0.7693 0.5569 0.2500  1 P 1.49
O 0.2307 0.4431 0.7500  1 P 1.49
O 0.7307 0.0569 0.7500  1 P 1.49
O 0.5252 0.9376 0.1529  2 P 1.57-1.63
O 0.0252 0.5624 0.3472  2 P 1.57-1.63
O 0.9748 0.4376 0.8472  2 P 1.57-1.63
O 0.4748 0.0624 0.6528  2 P 1.57-1.63
O 0.4748 0.0624 0.8472  2 P 1.57-1.63
O 0.9748 0.4376 0.6528  2 P 1.57-1.63
O 0.0252 0.5624 0.1529  2 P 1.57-1.63
O 0.5252 0.9376 0.3472  2 P 1.57-1.63
O 0.4937 0.6524 0.1367  1 P 1.47
O 0.9937 0.8476 0.3633  1 P 1.47
O 0.0063 0.1524 0.8633  1 P 1.47
O 0.5063 0.3476 0.6367  1 P 1.47
O 0.5063 0.3476 0.8633  1 P 1.47
O 0.0063 0.1524 0.6367  1 P 1.47
O 0.9937 0.8476 0.1367  1 P 1.47
O 0.4937 0.6524 0.3633  1 P 1.47
O 0.3330 0.8445 0.0299  2 P 1.58-1.62
O 0.8330 0.6555 0.4701  2 P 1.58-1.62
O 0.1670 0.3445 0.9701  2 P 1.58-1.62
O 0.6670 0.1555 0.5299  2 P 1.58-1.62
O 0.6670 0.1555 0.9701  2 P 1.58-1.62
O 0.1670 0.3445 0.5299  2 P 1.58-1.62
O 0.8330 0.6555 0.0299  2 P 1.58-1.62
O 0.8885 0.3205 0.4923  2 P 1.57-1.62

The density of states at the Fermi level comes out at 0.00 states/eV/cell. As for the density: 3650 kg/m3. For the magnetization, the calculation gives 0.0 Bohr magnetons per cell.


B:
Computed, not measured: a geometry-optimized HoP5O14 structure at the GGA-PBEsol level of DFT.

Lattice parameters (Å, degrees): 9.0934 9.0934 12.4212 88.95 88.95 89.49
Last column: nearest neighbours and their distance in Å.
Element x y z (fractional)
Ho 0.4807 0.5193 0.7500  8 O 2.29-2.33
Ho 0.5193 0.4807 0.2500  8 O 2.29-2.33
Ho 0.0326 0.9674 0.7500  8 O 2.25-2.36
Ho 0.9674 0.0326 0.2500  8 O 2.25-2.36
P 0.3228 0.3870 0.5002  4 O 1.47-1.65
P 0.6130 0.6772 0.9998  4 O 1.47-1.65
P 0.6772 0.6130 0.4998  4 O 1.47-1.65
P 0.3870 0.3228 0.0002  4 O 1.47-1.65
P 0.8181 0.4790 0.8955  4 O 1.47-1.58
P 0.5210 0.1819 0.6045  4 O 1.47-1.58
P 0.1819 0.5210 0.1045  4 O 1.47-1.58
P 0.4790 0.8181 0.3955  4 O 1.47-1.58
P 0.8742 0.1724 0.9663  4 O 1.48-1.65
P 0.8276 0.1258 0.5337  4 O 1.48-1.65
P 0.1258 0.8276 0.0337  4 O 1.48-1.65
P 0.1724 0.8742 0.4663  4 O 1.48-1.65
P 0.0482 0.3175 0.6097  4 O 1.47-1.58
P 0.6825 0.9518 0.8903  4 O 1.47-1.58
P 0.9518 0.6825 0.3903  4 O 1.47-1.58
P 0.3175 0.0482 0.1097  4 O 1.47-1.58
P 0.0777 0.5715 0.7600  4 O 1.48-1.64
P 0.4285 0.9223 0.7400  4 O 1.48-1.64
P 0.9223 0.4285 0.2400  4 O 1.48-1.64
P 0.5715 0.0777 0.2600  4 O 1.48-1.64
O 0.3528 0.4273 0.3864  1 P 1.47
O 0.5727 0.6472 0.1136  1 P 1.47
O 0.6472 0.5727 0.6136  1 P 1.47
O 0.4273 0.3528 0.8864  1 P 1.47
O 0.3585 0.4863 0.5899  1 P 1.49
O 0.5137 0.6415 0.9101  1 P 1.49
O 0.6415 0.5137 0.4101  1 P 1.49
O 0.4863 0.3585 0.0899  1 P 1.49
O 0.7184 0.4616 0.8048  1 P 1.47
O 0.5384 0.2816 0.6952  1 P 1.47
O 0.2816 0.5384 0.1952  1 P 1.47
O 0.4616 0.7184 0.3048  1 P 1.47
O 0.9236 0.1245 0.0741  1 P 1.48
O 0.8755 0.0764 0.4259  1 P 1.48
O 0.0764 0.8755 0.9259  1 P 1.48
O 0.1245 0.9236 0.5741  1 P 1.48
O 0.9650 0.1528 0.8664  1 P 1.49
O 0.8472 0.0350 0.6336  1 P 1.49
O 0.0350 0.8472 0.1336  1 P 1.49
O 0.0252 0.7218 0.7321  1 P 1.48
O 0.1528 0.9650 0.3664  1 P 1.49
O 0.8010 0.8945 0.8200  1 P 1.47
O 0.8945 0.8010 0.3200  1 P 1.47
O 0.1990 0.1055 0.1800  1 P 1.47
O 0.4697 0.0191 0.1636  2 P 1.57-1.63
O 0.9809 0.5303 0.3364  2 P 1.57-1.63
O 0.5303 0.9809 0.8364  2 P 1.57-1.63
O 0.0191 0.4697 0.6636  2 P 1.57-1.63
O 0.5054 0.9835 0.3631  2 P 1.57-1.64
O 0.0165 0.4946 0.1369  2 P 1.57-1.64
O 0.4946 0.0165 0.6369  2 P 1.57-1.64
O 0.9835 0.5054 0.8631  2 P 1.57-1.64
O 0.1044 0.7105 0.4440  2 P 1.58-1.65
O 0.2895 0.8956 0.0560  2 P 1.58-1.65
O 0.8956 0.2895 0.5560  2 P 1.58-1.65
O 0.7105 0.1044 0.9440  2 P 1.58-1.65
O 0.3497 0.1489 0.0071  2 P 1.58-1.62
O 0.8511 0.6503 0.4929  2 P 1.58-1.62
O 0.6503 0.8511 0.9929  2 P 1.58-1.62
O 0.1489 0.3497 0.5071  2 P 1.58-1.62
O 0.3437 0.8262 0.4764  2 P 1.58-1.62
O 0.1738 0.6563 0.0236  2 P 1.58-1.62
O 0.6563 0.1738 0.5236  2 P 1.58-1.62
O 0.8262 0.3437 0.9764  2 P 1.58-1.62
O 0.2225 0.3913 0.0266  2 P 1.58-1.65
O 0.6087 0.7775 0.4734  2 P 1.58-1.65
O 0.7775 0.6087 0.9734  2 P 1.58-1.65
O 0.3913 0.2225 0.5266  2 P 1.58-1.65
O 0.5390 0.2332 0.2849  1 P 1.48
O 0.7668 0.4610 0.2151  1 P 1.48
O 0.4610 0.7668 0.7151  1 P 1.48
O 0.2332 0.5390 0.7849  1 P 1.48
O 0.7218 0.0252 0.2321  1 P 1.48
O 0.9748 0.2782 0.2679  1 P 1.48
O 0.2782 0.9748 0.7679  1 P 1.48
O 0.1055 0.1990 0.6800  1 P 1.47

The density of states at the Fermi level comes out at 0.00 states/eV/cell. As for the density: 3518 kg/m3. For the magnetization, the calculation gives 0.0 Bohr magnetons per cell.


Least stable structure: A